# 1
First-principles (meta-GGA SCAN) data for HfP2 at its PBEsol-relaxed geometry, as listed in Alexandria.

Computed properties:
Its energy is -345.740 eV per cell. Its space group is Pnma. The density of states at the Fermi level comes out at 1.29 states/eV/cell. Its formation energy is -0.99 eV/atom. The value obtained for the volume is 47.6 Å³/f.u.

Cell: 6.391 3.459 8.603 Å, 90.00 90.00 90.00°
Atoms (fractional coordinates):
Hf 0.224 0.250 0.165
Hf 0.276 0.750 0.665
Hf 0.724 0.250 0.335
Hf 0.776 0.750 0.835
P 0.092 0.250 0.859
P 0.113 0.250 0.460
P 0.387 0.750 0.960
P 0.408 0.750 0.359
P 0.592 0.250 0.641
P 0.613 0.250 0.040
P 0.887 0.750 0.540
P 0.908 0.750 0.141


# 2
First-principles (meta-GGA SCAN) data for MgPb2Br at its PBEsol-relaxed geometry, as listed in Alexandria.

Computed properties:
Its energy is -706.462 eV per cell. Its space group is F-43m. The calculation puts the energy above the lowest structure with this stoichiometry at 243.7 meV/atom. The uncorrected formation energy is -155 meV/atom. The density of states at the Fermi level comes out at 7.15 states/eV/cell. The value obtained for the volume is 107.9 Å³/f.u.

Cell: 7.558 7.558 7.558 Å, 90.00 90.00 90.00°
Atoms (fractional coordinates):
Mg 0.000 0.000 0.000
Mg 0.000 0.500 0.500
Mg 0.500 0.000 0.500
Mg 0.500 0.500 0.000
Pb 0.000 0.000 0.500
Pb 0.000 0.500 0.000
Pb 0.250 0.250 0.750
Pb 0.250 0.750 0.250
Pb 0.500 0.000 0.000
Pb 0.500 0.500 0.500
Pb 0.750 0.250 0.250
Pb 0.750 0.750 0.750
Br 0.250 0.250 0.250
Br 0.250 0.750 0.750
Br 0.750 0.250 0.750
Br 0.750 0.750 0.250


# 3
First-principles (meta-GGA SCAN) data for CoNi2Rh at its PBEsol-relaxed geometry, as listed in Alexandria.

Computed properties:
Its energy is -166.587 eV per cell. Its space group is Cm. The calculation puts the energy above the lowest structure with this stoichiometry at 46.1 meV/atom. The density of states at the Fermi level comes out at 7.93 states/eV/cell. Its formation energy is 0.03 eV/atom. The value obtained for the volume is 45.4 Å³/f.u.

Cell: 8.334 2.546 4.348 Å, 90.00 100.41 90.00°
Atoms (fractional coordinates):
Co 0.000 0.000 0.000
Co 0.500 0.500 0.000
Ni 0.004 0.500 0.516
Ni 0.253 0.000 0.757
Ni 0.504 0.000 0.516
Ni 0.753 0.500 0.757
Rh 0.251 0.500 0.255
Rh 0.751 0.000 0.255


# 4
First-principles (meta-GGA SCAN) data for Mg2MnOs at its PBEsol-relaxed geometry, as listed in Alexandria.

Computed properties:
Its energy is -99.765 eV per cell. Its space group is Pmmm. The calculation puts the energy above the lowest structure with this stoichiometry at 0.0 meV/atom. The density of states at the Fermi level comes out at 2.44 states/eV/cell. Its formation energy is 0.08 eV/atom. The value obtained for the volume is 61.5 Å³/f.u.

Cell: 2.663 4.230 5.455 Å, 90.00 90.00 90.00°
Atoms (fractional coordinates):
Mg 0.000 0.000 0.245
Mg 0.000 0.000 0.755
Mn 0.500 0.500 0.500
Os 0.500 0.500 0.000


# 5
First-principles (meta-GGA SCAN) data for CrInRu2 at its PBEsol-relaxed geometry, as listed in Alexandria.

Computed properties:
Its energy is -240.110 eV per cell. Its space group is C2/m. The density of states at the Fermi level comes out at 5.37 states/eV/cell. Its formation energy is 0.34 eV/atom. The value obtained for the volume is 58.6 Å³/f.u.

Cell: 5.442 8.616 2.750 Å, 90.00 114.55 90.00°
Atoms (fractional coordinates):
Cr 0.000 0.000 0.000
Cr 0.500 0.500 0.000
In 0.000 0.500 0.000
In 0.500 0.000 0.000
Ru 0.250 0.250 0.500
Ru 0.250 0.750 0.500
Ru 0.750 0.250 0.500
Ru 0.750 0.750 0.500


# 6
First-principles (meta-GGA SCAN) data for Tc2BI at its PBEsol-relaxed geometry, as listed in Alexandria.

Computed properties:
Its energy is -444.527 eV per cell. Its space group is I-42d. The uncorrected formation energy is 790 meV/atom. The density of states at the Fermi level comes out at 1.44 states/eV/cell. The value obtained for the volume is 69.2 Å³/f.u.

Cell: 4.578 4.578 13.202 Å, 90.00 90.00 90.00°
Atoms (fractional coordinates):
Tc 0.130 0.250 0.125
Tc 0.250 0.630 0.375
Tc 0.250 0.870 0.875
Tc 0.370 0.250 0.625
Tc 0.630 0.750 0.625
Tc 0.750 0.130 0.875
Tc 0.750 0.370 0.375
Tc 0.870 0.750 0.125
B 0.000 0.000 0.000
B 0.000 0.500 0.250
B 0.500 0.000 0.750
B 0.500 0.500 0.500
I 0.000 0.000 0.500
I 0.000 0.500 0.750
I 0.500 0.000 0.250
I 0.500 0.500 0.000


# 7
First-principles (meta-GGA SCAN) data for ZrSc2Tl at its PBEsol-relaxed geometry, as listed in Alexandria.

Computed properties:
Its energy is -264.950 eV per cell. Its space group is I4/mmm. The calculation puts the energy above the lowest structure with this stoichiometry at 54.6 meV/atom. The density of states at the Fermi level comes out at 10.37 states/eV/cell. Its formation energy is -0.24 eV/atom. The value obtained for the volume is 87.3 Å³/f.u.

Cell: 4.370 4.370 9.140 Å, 90.00 90.00 90.00°
Atoms (fractional coordinates):
Zr 0.000 0.000 0.000
Zr 0.500 0.500 0.500
Sc 0.000 0.500 0.250
Sc 0.000 0.500 0.750
Sc 0.500 0.000 0.250
Sc 0.500 0.000 0.750
Tl 0.000 0.000 0.500
Tl 0.500 0.500 0.000


# 8
First-principles (meta-GGA SCAN) data for Zn2IrSe at its PBEsol-relaxed geometry, as listed in Alexandria.

Computed properties:
Its energy is -352.303 eV per cell. Its space group is R3m. The uncorrected formation energy is 193 meV/atom. The density of states at the Fermi level comes out at 7.50 states/eV/cell. The value obtained for the volume is 63.2 Å³/f.u.

Cell: 3.023 3.023 23.937 Å, 90.00 90.00 120.00°
Atoms (fractional coordinates):
Zn 0.000 0.000 0.000
Zn 0.000 0.000 0.251
Zn 0.333 0.667 0.667
Zn 0.333 0.667 0.918
Zn 0.667 0.333 0.333
Zn 0.667 0.333 0.585
Ir 0.000 0.000 0.503
Ir 0.333 0.667 0.169
Ir 0.667 0.333 0.836
Se 0.000 0.000 0.761
Se 0.333 0.667 0.428
Se 0.667 0.333 0.095


# 9
First-principles (meta-GGA SCAN) data for Ta2CoRu at its PBEsol-relaxed geometry, as listed in Alexandria.

Computed properties:
Its energy is -186.366 eV per cell. Its space group is Pmmm. The density of states at the Fermi level comes out at 2.80 states/eV/cell. Its formation energy is -0.27 eV/atom. The value obtained for the volume is 58.4 Å³/f.u.

Cell: 2.992 3.382 5.775 Å, 90.00 90.00 90.00°
Atoms (fractional coordinates):
Ta 0.000 0.000 0.243
Ta 0.000 0.000 0.757
Co 0.500 0.500 0.000
Ru 0.500 0.500 0.500


# 10
First-principles (meta-GGA SCAN) data for Ag5Sb at its PBEsol-relaxed geometry, as listed in Alexandria.

Computed properties:
Its energy is -387.911 eV per cell. Its space group is Cmmm. The calculation puts the energy above the lowest structure with this stoichiometry at 0.0 meV/atom. The uncorrected formation energy is 23 meV/atom. The density of states at the Fermi level comes out at 3.20 states/eV/cell. The value obtained for the volume is 106.9 Å³/f.u.

Cell: 4.151 12.539 4.107 Å, 90.00 90.00 90.00°
Atoms (fractional coordinates):
Ag 0.000 0.000 0.000
Ag 0.000 0.170 0.500
Ag 0.000 0.329 0.000
Ag 0.000 0.671 0.000
Ag 0.000 0.830 0.500
Ag 0.500 0.171 0.000
Ag 0.500 0.330 0.500
Ag 0.500 0.500 0.000
Ag 0.500 0.670 0.500
Ag 0.500 0.829 0.000
Sb 0.000 0.500 0.500
Sb 0.500 0.000 0.500


# 11
First-principles (meta-GGA SCAN) data for BiH3 at its PBEsol-relaxed geometry, as listed in Alexandria.

Computed properties:
Its energy is -170.830 eV per cell. Its space group is I4/mmm. The density of states at the Fermi level comes out at 1.25 states/eV/cell. The value obtained for the volume is 37.9 Å³/f.u.

Cell: 3.495 3.495 6.203 Å, 90.00 90.00 90.00°
Atoms (fractional coordinates):
Bi 0.000 0.000 0.000
Bi 0.500 0.500 0.500
H 0.000 0.000 0.500
H 0.000 0.500 0.250
H 0.000 0.500 0.750
H 0.500 0.000 0.250
H 0.500 0.000 0.750
H 0.500 0.500 0.000


# 12
First-principles (meta-GGA SCAN) data for IrOs3 at its PBEsol-relaxed geometry, as listed in Alexandria.

Computed properties:
Its energy is -572.761 eV per cell. Its space group is C2/m. The density of states at the Fermi level comes out at 5.39 states/eV/cell. Its formation energy is 0.09 eV/atom. The value obtained for the volume is 55.9 Å³/f.u.

Cell: 8.965 2.701 4.688 Å, 90.00 99.99 90.00°
Atoms (fractional coordinates):
Ir 0.000 0.000 0.000
Ir 0.500 0.500 0.000
Os 0.000 0.500 0.500
Os 0.248 0.000 0.747
Os 0.252 0.500 0.253
Os 0.500 0.000 0.500
Os 0.748 0.500 0.747
Os 0.752 0.000 0.253